(1)
The following is a DFT calculation (GGA-PBE) of Cs2Sn3HgBr8 after structural relaxation.

Results
As for the formation energy from raw total energies: -982.0 meV per atom.

```
14
Lattice="-7.838 -4.425 0.324 -1.107 -6.779 5.826 -6.018 2.100 8.262" Properties=species:S:1:pos:R:3 pbc="T T T"
Cs -4.768 -0.303 5.704
Cs -7.478 -4.560 7.198
Sn -5.056 -8.940 5.978
Sn -8.359 -7.785 3.279
Sn -4.513 -5.613 3.119
Hg -10.241 -8.714 8.802
Br -3.558 -2.627 3.230
Br -11.441 -6.409 11.256
Br -7.068 -1.039 8.203
Br -10.637 -3.053 8.351
Br -7.572 -4.125 10.856
Br -7.385 -4.995 3.507
Br -4.289 -6.078 6.038
Br -7.894 -8.113 6.187
```


(2)
The following is a DFT calculation (GGA-PBE) of SrRe2HgO8 after structural relaxation.

Results
As for the formation energy from raw total energies: -1835.2 meV per atom.

```
12
Lattice="-5.157 -3.492 -2.132 -0.164 -2.019 -6.264 3.721 -6.799 2.072" Properties=species:S:1:pos:R:3 pbc="T T T"
Sr 1.860 -3.400 1.036
Re -2.553 -5.465 -5.035
Re 0.953 -6.846 -1.290
Hg 0.000 0.000 0.000
O -0.787 -7.085 -1.161
O -3.367 -4.009 -5.498
O -3.050 -6.775 -6.102
O 1.450 -5.536 -0.222
O 1.766 -8.302 -0.826
O 1.377 -6.447 -2.952
O -2.978 -5.864 -3.373
O -0.814 -5.225 -5.163
```


(3)
The following is a DFT calculation (GGA-PBE) of CaNdAg2 after structural relaxation.

Results
The calculation puts the energy above the most stable polymorph in this dataset at 0.000 eV per atom.

```
4
Lattice="5.261 0.000 0.000 2.630 4.556 0.000 2.630 1.519 4.295" Properties=species:S:1:pos:R:3 pbc="T T T"
Ca 5.261 3.037 2.148
Nd 0.000 0.000 0.000
Ag 7.891 4.556 3.222
Ag 2.630 1.519 1.074
```


(4)
The following is a DFT calculation (GGA-PBE) of V2HPdPt after structural relaxation.

Results
The calculation puts the energy above the most stable polymorph in this dataset at 0.039 eV per atom.

```
5
Lattice="3.865 0.000 0.000 0.000 3.865 0.000 0.000 0.000 3.967" Properties=species:S:1:pos:R:3 pbc="T T T"
H 0.000 0.000 0.000
Pd 1.932 1.932 1.984
Pt 0.000 0.000 1.984
V 0.000 1.932 0.000
V 1.932 0.000 0.000
```


(5)
The following is a DFT calculation (GGA-PBE) of K2LaReO6 after structural relaxation.

Results
As for the formation energy from raw total energies: -2196.0 meV per atom.

```
10
Lattice="-0.071 -2.204 5.670 -3.503 -4.621 -1.840 5.304 1.090 -2.774" Properties=species:S:1:pos:R:3 pbc="T T T"
K 1.723 -2.267 2.403
K 0.007 -3.475 -1.351
La 3.515 -2.325 -0.861
Re 5.230 -1.116 2.895
O 2.518 -4.227 0.206
O 0.171 -4.708 1.435
O 4.509 -0.422 -1.927
O 4.469 -1.651 1.233
O 1.554 -1.030 -0.381
O 2.558 -2.998 -2.953
```


(6)
The following is a DFT calculation (GGA-PBE) of K2HgBr after structural relaxation.

Results
As for the formation energy from raw total energies: -871.7 meV per atom. The calculation puts the energy above the most stable polymorph in this dataset at 0.036 eV per atom.

```
4
Lattice="-5.216 -7.807 -1.391 -2.250 -8.234 -4.149 1.982 -3.036 2.601" Properties=species:S:1:pos:R:3 pbc="T T T"
Br -2.336 -8.950 -1.123
Hg -0.882 -4.115 -0.310
K 1.653 -3.472 2.316
K -4.679 -15.114 -2.688
```


(7)
The following is a DFT calculation (GGA-PBE) of NiMoP2 after structural relaxation.

Results
The raw total energy comes out at -6.8932 eV per atom.

```
4
Lattice="2.980 -2.478 -1.602 2.626 -2.041 2.554 -0.289 -4.163 0.412" Properties=species:S:1:pos:R:3 pbc="T T T"
Ni 0.000 0.000 0.000
Mo 2.658 -4.341 0.682
P 1.329 -2.170 0.341
P 3.987 -6.511 1.023
```


(8)
The following is a DFT calculation (GGA-PBE) of B2H4Br3 after structural relaxation.

Results
The raw total energy comes out at -3.7186 eV per atom.

```
18
Lattice="4.785 0.953 0.682 2.388 10.112 1.217 2.388 4.410 9.181" Properties=species:S:1:pos:R:3 pbc="T T T"
B 2.995 3.327 4.956
B 4.174 9.234 9.185
B 6.567 12.147 6.123
B 5.387 6.241 1.894
H 5.346 12.238 5.601
H 1.823 5.752 0.958
H 4.215 3.236 5.478
H 7.739 9.722 10.122
H 2.977 4.170 4.115
H 4.192 9.759 8.116
H 6.585 11.305 6.965
H 5.369 5.715 2.963
Br 3.088 11.125 3.996
Br 4.081 7.631 1.494
Br 6.473 4.350 7.083
Br 5.481 7.844 9.585
Br 3.584 7.281 5.673
Br 5.977 8.193 5.406
```